V3Te12Au5 | PBE-GGA | optimized geometry

```
V3Te12Au5
1.0
-8.2816 8.2816 8.2816
8.2816 -8.2816 8.2816
8.2816 8.2816 -8.2816
V Te Au
12 48 20
Direct
0.1250 0.2500 0.3750
0.1250 0.3750 0.7500
0.2500 0.3750 0.1250
0.2500 0.8750 0.6250
0.3750 0.1250 0.2500
0.3750 0.7500 0.1250
0.6250 0.2500 0.8750
0.6250 0.8750 0.7500
0.7500 0.1250 0.3750
0.7500 0.6250 0.8750
0.8750 0.6250 0.2500
0.8750 0.7500 0.6250
0.0568 0.2271 0.1415
0.0568 0.3297 0.9154
0.0846 0.6415 0.4144
0.0846 0.9432 0.6703
0.0856 0.7271 0.6703
0.0856 0.8585 0.4154
0.1415 0.0568 0.2271
0.1415 0.5846 0.9144
0.1703 0.2271 0.5856
0.1703 0.4432 0.5846
0.2271 0.1415 0.0568
0.2271 0.5856 0.1703
0.2729 0.3297 0.9144
0.2729 0.4432 0.3585
0.3297 0.9144 0.2729
0.3297 0.9154 0.0568
0.3585 0.2729 0.4432
0.3585 0.5856 0.9154
0.4144 0.0846 0.6415
0.4144 0.8297 0.7729
0.4154 0.0856 0.8585
0.4154 0.8297 0.5568
0.4432 0.3585 0.2729
0.4432 0.5846 0.1703
0.5568 0.4154 0.8297
0.5568 0.6415 0.7271
0.5846 0.1703 0.4432
0.5846 0.9144 0.1415
0.5856 0.1703 0.2271
0.5856 0.9154 0.3585
0.6415 0.4144 0.0846
0.6415 0.7271 0.5568
0.6703 0.0846 0.9432
0.6703 0.0856 0.7271
0.7271 0.5568 0.6415
0.7271 0.6703 0.0856
0.7729 0.4144 0.8297
0.7729 0.8585 0.9432
0.8297 0.5568 0.4154
0.8297 0.7729 0.4144
0.8585 0.4154 0.0856
0.8585 0.9432 0.7729
0.9144 0.1415 0.5846
0.9144 0.2729 0.3297
0.9154 0.0568 0.3297
0.9154 0.3585 0.5856
0.9432 0.6703 0.0846
0.9432 0.7729 0.8585
0.0000 0.0000 0.0000
0.0000 0.0000 0.5000
0.0000 0.5000 0.0000
0.0000 0.5000 0.5000
0.1250 0.7500 0.8750
0.1250 0.8750 0.2500
0.2500 0.1250 0.8750
0.2500 0.6250 0.3750
0.3750 0.2500 0.6250
0.3750 0.6250 0.7500
0.5000 0.0000 0.0000
0.5000 0.0000 0.5000
0.5000 0.5000 0.0000
0.5000 0.5000 0.5000
0.6250 0.3750 0.2500
0.6250 0.7500 0.3750
0.7500 0.3750 0.6250
0.7500 0.8750 0.1250
0.8750 0.1250 0.7500
0.8750 0.2500 0.1250
```

Properties
**Uncorrected energy**: -0.295 Ry per atom
**Energy relative to the elements, uncorrected**: 53 meV/atom
**SG**: Ia-3d